# 1
# Al2WI (PBE-GGA, relaxed)
data_Al2WI
_cell_length_a 6.597
_cell_length_b 6.597
_cell_length_c 11.469
_cell_angle_alpha 90.00
_cell_angle_beta 90.00
_cell_angle_gamma 90.00
_symmetry_space_group_name_H-M 'I -4 2 d'
_symmetry_Int_Tables_number 122
_symmetry_space_group_name_Hall 'I -4 2bw'
loop_
_atom_site_label
_atom_site_fract_x
_atom_site_fract_y
_atom_site_fract_z
Al1 0.199 0.250 0.125
W1 0.000 0.000 0.000
I1 0.000 0.000 0.500
# total energy: -67.18 eV for the cell shown
# E_form (uncorrected): 1.298 eV per atom
# DOS at the Fermi energy: 10.3 states/eV/cell
# ΔE to the lowest computed polymorph: 227.6 meV per atom

# 2
# Al3WI (PBE-GGA, relaxed)
data_Al3WI
_cell_length_a 5.123
_cell_length_b 5.123
_cell_length_c 5.123
_cell_angle_alpha 90.00
_cell_angle_beta 90.00
_cell_angle_gamma 90.00
_symmetry_space_group_name_H-M 'P m -3 m'
_symmetry_Int_Tables_number 221
_symmetry_space_group_name_Hall '-P 4 2 3'
loop_
_atom_site_label
_atom_site_fract_x
_atom_site_fract_y
_atom_site_fract_z
Al1 0.000 0.000 0.500
W1 0.000 0.000 0.000
I1 0.500 0.500 0.500
# total energy: -21.64 eV for the cell shown
# E_form (uncorrected): 0.819 eV per atom
# DOS at the Fermi energy: 5.8 states/eV/cell
# ΔE to the lowest computed polymorph: 0.0 meV per atom

# 3
# AlW2I (PBE-GGA, relaxed)
data_AlW2I
_cell_length_a 4.151
_cell_length_b 4.151
_cell_length_c 18.868
_cell_angle_alpha 90.00
_cell_angle_beta 90.00
_cell_angle_gamma 90.00
_symmetry_space_group_name_H-M 'I -4 2 d'
_symmetry_Int_Tables_number 122
_symmetry_space_group_name_Hall 'I -4 2bw'
loop_
_atom_site_label
_atom_site_fract_x
_atom_site_fract_y
_atom_site_fract_z
Al1 0.000 0.000 0.000
W1 0.187 0.250 0.125
I1 0.000 0.000 0.500
# total energy: -106.07 eV for the cell shown
# E_form (uncorrected): 1.170 eV per atom
# DOS at the Fermi energy: 15.1 states/eV/cell
# ΔE to the lowest computed polymorph: 133.6 meV per atom

# 4
# AlW2I2 (PBE-GGA, relaxed)
data_AlW2I2
_cell_length_a 3.687
_cell_length_b 3.687
_cell_length_c 18.578
_cell_angle_alpha 90.00
_cell_angle_beta 90.00
_cell_angle_gamma 90.00
_symmetry_space_group_name_H-M 'I 4/m m m'
_symmetry_Int_Tables_number 139
_symmetry_space_group_name_Hall '-I 4 2'
loop_
_atom_site_label
_atom_site_fract_x
_atom_site_fract_y
_atom_site_fract_z
Al1 0.000 0.000 0.000
W1 0.000 0.500 0.250
I1 0.000 0.000 0.382
# total energy: -54.84 eV for the cell shown
# E_form (uncorrected): 1.066 eV per atom
# DOS at the Fermi energy: 7.1 states/eV/cell
# ΔE to the lowest computed polymorph: 0.0 meV per atom

# 5
# AlWI2 (PBE-GGA, relaxed)
data_AlWI2
_cell_length_a 6.998
_cell_length_b 6.998
_cell_length_c 6.998
_cell_angle_alpha 90.00
_cell_angle_beta 90.00
_cell_angle_gamma 90.00
_symmetry_space_group_name_H-M 'F m -3 m'
_symmetry_Int_Tables_number 225
_symmetry_space_group_name_Hall '-F 4 2 3'
loop_
_atom_site_label
_atom_site_fract_x
_atom_site_fract_y
_atom_site_fract_z
Al1 0.000 0.000 0.000
W1 0.000 0.000 0.500
I1 0.250 0.250 0.250
# total energy: -60.60 eV for the cell shown
# E_form (uncorrected): 1.161 eV per atom
# DOS at the Fermi energy: 13.2 states/eV/cell
# ΔE to the lowest computed polymorph: 476.1 meV per atom

# 6
# AlW2I2 (PBE-GGA, relaxed)
data_AlW2I2
_cell_length_a 8.498
_cell_length_b 8.498
_cell_length_c 3.202
_cell_angle_alpha 90.00
_cell_angle_beta 90.00
_cell_angle_gamma 90.00
_symmetry_space_group_name_H-M 'P 4/m b m'
_symmetry_Int_Tables_number 127
_symmetry_space_group_name_Hall '-P 4 2ab'
loop_
_atom_site_label
_atom_site_fract_x
_atom_site_fract_y
_atom_site_fract_z
Al1 0.000 0.000 0.000
W1 0.100 0.400 0.500
I1 0.187 0.687 0.000
# total energy: -49.94 eV for the cell shown
# E_form (uncorrected): 1.556 eV per atom
# DOS at the Fermi energy: 10.6 states/eV/cell
# ΔE to the lowest computed polymorph: 489.6 meV per atom

# 7
# Al2WI2 (PBE-GGA, relaxed)
data_Al2WI2
_cell_length_a 7.078
_cell_length_b 7.078
_cell_length_c 4.809
_cell_angle_alpha 90.00
_cell_angle_beta 90.00
_cell_angle_gamma 90.00
_symmetry_space_group_name_H-M 'P 4/m b m'
_symmetry_Int_Tables_number 127
_symmetry_space_group_name_Hall '-P 4 2ab'
loop_
_atom_site_label
_atom_site_fract_x
_atom_site_fract_y
_atom_site_fract_z
Al1 0.142 0.358 0.000
W1 0.000 0.000 0.000
I1 0.196 0.696 0.500
# total energy: -37.56 eV for the cell shown
# E_form (uncorrected): 0.952 eV per atom
# DOS at the Fermi energy: 7.3 states/eV/cell
# ΔE to the lowest computed polymorph: 0.0 meV per atom

# 8
# AlWI2 (PBE-GGA, relaxed)
data_AlWI2
_cell_length_a 9.818
_cell_length_b 9.818
_cell_length_c 5.170
_cell_angle_alpha 90.00
_cell_angle_beta 90.00
_cell_angle_gamma 90.00
_symmetry_space_group_name_H-M 'I -4 2 d'
_symmetry_Int_Tables_number 122
_symmetry_space_group_name_Hall 'I -4 2bw'
loop_
_atom_site_label
_atom_site_fract_x
_atom_site_fract_y
_atom_site_fract_z
Al1 0.000 0.000 0.000
W1 0.000 0.000 0.500
I1 0.103 0.250 0.625
# total energy: -68.22 eV for the cell shown
# E_form (uncorrected): 0.685 eV per atom
# DOS at the Fermi energy: 12.7 states/eV/cell
# ΔE to the lowest computed polymorph: 0.0 meV per atom